1.
Below is an optimized crystal structure of YInGa3, with properties calculated at the PBE level.

Values from the calculation:
ΔE_f in eV/atom: 0.352
ΔE to the lowest computed polymorph in meV per atom: 0.0

The structure in POSCAR format:
```
YInGa3
1.0
-4.692 2.007 0.741
0.716 -0.212 5.103
2.017 4.745 -0.086
Ga Y In
3 1 1
Cartesian
-2.346 1.004 0.371 Ga
0.358 -0.106 2.551 Ga
1.008 2.373 -0.043 Ga
-0.980 3.271 2.879 Y
0.000 0.000 0.000 In
```


2.
Below is an optimized crystal structure of Li2TiTlZn, with properties calculated at the PBE level.

Values from the calculation:
ΔE_f in eV/atom: 0.301

The structure in POSCAR format:
```
Li2TiTlZn
1.0
4.548 0.000 0.000
0.000 4.978 0.000
0.000 0.000 4.548
Zn Li Tl Ti
1 2 1 1
Cartesian
0.000 0.000 0.000 Zn
2.274 0.000 0.000 Li
0.000 0.000 2.274 Li
2.274 2.489 2.274 Tl
0.000 2.489 0.000 Ti
```